No. 1
# Cu2MoAs | Alexandria | PBE | optimized geometry
# Volume = 14.28 A^3/atom
# Formation energy = 193 meV per atom
# Size of the total moment = 0.0 Bohr magnetons per cell
# Uncorrected energy = -22.90 eV for the cell shown
data_Cu2MoAs
_space_group_name_H-M_alt 'P m m 2'
_space_group_IT_number 25
_cell_length_a 2.713
_cell_length_b 4.204
_cell_length_c 5.008
_cell_angle_alpha 90.00
_cell_angle_beta 90.00
_cell_angle_gamma 90.00
loop_
_space_group_symop_operation_xyz
'x,y,z'
'-x,-y,z'
'-x,y,z'
'x,-y,z'
loop_
_atom_site_label
_atom_site_fract_x
_atom_site_fract_y
_atom_site_fract_z
Cu1 0.000 0.000 0.000
Cu2 0.000 0.500 0.231
Mo1 0.500 0.500 0.739
As1 0.000 0.000 0.519



No. 2
# CuMo4As | Alexandria | PBE | optimized geometry
# Volume = 16.76 A^3/atom
# Formation energy = 677 meV per atom
# Size of the total moment = 0.0 Bohr magnetons per cell
# Uncorrected energy = -192.03 eV for the cell shown
data_CuMo4As
_space_group_name_H-M_alt 'F -4 3 m'
_space_group_IT_number 216
_space_group_name_Hall 'F -4 2 3'
_cell_length_a 7.381
_cell_length_b 7.381
_cell_length_c 7.381
_cell_angle_alpha 90.00
_cell_angle_beta 90.00
_cell_angle_gamma 90.00
loop_
_atom_site_label
_atom_site_fract_x
_atom_site_fract_y
_atom_site_fract_z
Cu1 0.000 0.000 0.000
Mo1 0.127 0.127 0.373
As1 0.250 0.250 0.750



No. 3
# CuMo2AsN | Alexandria | PBE | optimized geometry
# Volume = 18.38 A^3/atom
# ΔE_f (raw) = 2094 meV per atom
# Size of the total moment = 0.0 Bohr magnetons per cell
# Uncorrected energy = -28.27 eV for the cell shown
data_CuMo2AsN
_space_group_name_H-M_alt 'P 4/m m m'
_space_group_IT_number 123
_space_group_name_Hall '-P 4 2'
_cell_length_a 4.663
_cell_length_b 4.663
_cell_length_c 4.226
_cell_angle_alpha 90.00
_cell_angle_beta 90.00
_cell_angle_gamma 90.00
loop_
_atom_site_label
_atom_site_fract_x
_atom_site_fract_y
_atom_site_fract_z
Cu1 0.000 0.000 0.000
Mo1 0.000 0.500 0.500
As1 0.000 0.000 0.500
N1 0.500 0.500 0.000



> What is the formula in the third record?

CuMo2AsN



> Number 1 is which compound?

Cu2MoAs



Repeat the third record exactly.
# CuMo2AsN | Alexandria | PBE | optimized geometry
# Volume = 18.38 A^3/atom
# ΔE_f (raw) = 2094 meV per atom
# Size of the total moment = 0.0 Bohr magnetons per cell
# Uncorrected energy = -28.27 eV for the cell shown
data_CuMo2AsN
_space_group_name_H-M_alt 'P 4/m m m'
_space_group_IT_number 123
_space_group_name_Hall '-P 4 2'
_cell_length_a 4.663
_cell_length_b 4.663
_cell_length_c 4.226
_cell_angle_alpha 90.00
_cell_angle_beta 90.00
_cell_angle_gamma 90.00
loop_
_atom_site_label
_atom_site_fract_x
_atom_site_fract_y
_atom_site_fract_z
Cu1 0.000 0.000 0.000
Mo1 0.000 0.500 0.500
As1 0.000 0.000 0.500
N1 0.500 0.500 0.000